[1]
Density functional theory data (PBE-GGA) for SrPm2ZnO5 after structural relaxation.

Unit cell a=6.6979 b=6.6979 c=7.4445 alpha=116.73 beta=116.73 gamma=90.00
Closest atoms and distances in Å follow each position.
Positions (direct):
Sr  0.2500  0.2500  0.5000  10 O 2.87-2.89
Sr  0.7500  0.7500  0.5000  10 O 2.87-2.89
Pm  0.1729  0.3271  0.0000  4 O 2.27-2.48
Pm  0.6729  0.1729  0.0000  4 O 2.27-2.48
Pm  0.3271  0.8271  0.0000  4 O 2.27-2.48
Pm  0.8271  0.6729  0.0000  4 O 2.27-2.48
Zn  0.2500  0.7500  0.5000  4 O 1.95
Zn  0.7500  0.2500  0.5000  4 O 1.95
O  0.9835  0.4835  0.2649  1 Zn 1.95
O  0.7186  0.2186  0.7351  1 Zn 1.95
O  0.0165  0.5165  0.7351  1 Zn 1.95
O  0.2186  0.0165  0.7351  1 Zn 1.95
O  0.5165  0.7186  0.7351  1 Zn 1.95
O  0.7814  0.9835  0.2649  1 Zn 1.95
O  0.4835  0.2814  0.2649  1 Zn 1.95
O  0.2814  0.7814  0.2649  1 Zn 1.95
O  0.5000  0.5000  0.0000  4 Pm 2.48
O  0.0000  0.0000  0.0000  4 Pm 2.48

Calculated values
SG: I4/mcm

[2]
Density functional theory data (PBE-GGA) for Sr2PmZrO6 after structural relaxation.

Unit cell a=5.9819 b=6.1509 c=8.5325 alpha=90.00 beta=90.09 gamma=90.00
Closest atoms and distances in Å follow each position.
Positions (direct):
Sr  0.0157  0.9528  0.2524  5 O 2.52-2.76
Sr  0.5157  0.5472  0.7524  5 O 2.52-2.76
Sr  0.9843  0.0472  0.7476  5 O 2.52-2.76
Sr  0.4843  0.4528  0.2476  5 O 2.52-2.76
Pm  0.5000  0.0000  0.0000  6 O 2.32-2.35
Pm  0.0000  0.5000  0.5000  6 O 2.32-2.35
Zr  0.5000  0.0000  0.5000  6 O 2.12-2.13
Zr  0.0000  0.5000  0.0000  6 O 2.12-2.13
O  0.2828  0.6955  0.0526  1 Zr 2.12, 1 Pm 2.32
O  0.7828  0.8045  0.5526  1 Zr 2.12, 1 Pm 2.32
O  0.7172  0.3045  0.9474  1 Zr 2.12, 1 Pm 2.32
O  0.2172  0.1955  0.4474  1 Zr 2.12, 1 Pm 2.32
O  0.3075  0.7203  0.4387  1 Zr 2.13, 1 Pm 2.34
O  0.8075  0.7797  0.9387  1 Zr 2.13, 1 Pm 2.34
O  0.6925  0.2797  0.5613  1 Zr 2.13, 1 Pm 2.34
O  0.1925  0.2203  0.0613  1 Zr 2.13, 1 Pm 2.34
O  0.8944  0.5436  0.2367  1 Zr 2.13, 1 Pm 2.35
O  0.3944  0.9564  0.7367  1 Zr 2.13, 1 Pm 2.35
O  0.1056  0.4564  0.7633  1 Zr 2.13, 1 Pm 2.35
O  0.6056  0.0436  0.2633  1 Zr 2.13, 1 Pm 2.35

Calculated values
SG: P2_1/c

[3]
Density functional theory data (PBE-GGA) for Pm6TaO12 after structural relaxation.

Unit cell a=6.6770 b=6.6770 c=6.6770 alpha=98.66 beta=98.66 gamma=98.66
Closest atoms and distances in Å follow each position.
Positions (direct):
Pm  0.7017  0.8606  0.3889  6 O 2.30-2.45
Pm  0.6111  0.2983  0.1394  6 O 2.30-2.45
Pm  0.1394  0.6111  0.2983  6 O 2.30-2.45
Pm  0.2983  0.1394  0.6111  6 O 2.30-2.45
Pm  0.3889  0.7017  0.8606  6 O 2.30-2.45
Pm  0.8606  0.3889  0.7017  6 O 2.30-2.45
Ta  0.0000  0.0000  0.0000  6 O 2.03
O  0.8227  0.5589  0.4114  4 Pm 2.30-2.42
O  0.4114  0.8227  0.5589  4 Pm 2.30-2.42
O  0.5589  0.4114  0.8227  4 Pm 2.30-2.42
O  0.1773  0.4411  0.5886  4 Pm 2.30-2.42
O  0.5886  0.1773  0.4411  4 Pm 2.30-2.42
O  0.4411  0.5886  0.1773  4 Pm 2.30-2.42
O  0.0687  0.9611  0.2969  1 Ta 2.03
O  0.0389  0.7031  0.9313  1 Ta 2.03
O  0.7031  0.9313  0.0389  1 Ta 2.03
O  0.9313  0.0389  0.7031  1 Ta 2.03
O  0.9611  0.2969  0.0687  1 Ta 2.03
O  0.2969  0.0687  0.9611  1 Ta 2.03

Calculated values
SG: R-3

[4]
Density functional theory data (PBE-GGA) for Pm2TaO5 after structural relaxation.

Unit cell a=4.0686 b=6.2794 c=10.8487 alpha=90.00 beta=90.00 gamma=108.90
Closest atoms and distances in Å follow each position.
Positions (direct):
Pm  0.8616  0.7232  0.4239  5 O 2.27-2.46
Pm  0.8616  0.7232  0.0761  5 O 2.27-2.46
Pm  0.1384  0.2768  0.5761  5 O 2.27-2.46
Pm  0.1384  0.2768  0.9239  5 O 2.27-2.46
Ta  0.8313  0.6626  0.7500  6 O 1.96-2.15
Ta  0.1687  0.3374  0.2500  6 O 1.96-2.15
O  0.9469  0.8938  0.8792  1 Ta 1.96
O  0.9469  0.8938  0.6208  1 Ta 1.96
O  0.2775  0.5550  0.4081  1 Ta 2.15, 2 Pm 2.27
O  0.2775  0.5550  0.0919  1 Ta 2.15, 2 Pm 2.27
O  0.7050  0.4100  0.2500  2 Ta 2.08
O  0.2950  0.5900  0.7500  2 Ta 2.08
O  0.7225  0.4450  0.5919  1 Ta 2.15, 2 Pm 2.27
O  0.7225  0.4450  0.9081  1 Ta 2.15, 2 Pm 2.27
O  0.0531  0.1062  0.1208  1 Ta 1.96
O  0.0531  0.1062  0.3792  1 Ta 1.96

Calculated values
SG: Cmcm

[5]
Density functional theory data (PBE-GGA) for Pm2TaO6 after structural relaxation.

Unit cell a=5.7015 b=5.9840 c=8.2049 alpha=90.00 beta=98.18 gamma=90.00
Closest atoms and distances in Å follow each position.
Positions (direct):
Pm  0.9541  0.4155  0.7695  7 O 2.36-2.63
Pm  0.5459  0.9155  0.7305  7 O 2.36-2.63
Pm  0.4541  0.0845  0.2695  7 O 2.36-2.63
Pm  0.0459  0.5845  0.2305  7 O 2.36-2.63
Ta  0.5000  0.5000  0.0000  6 O 1.97-2.02
Ta  0.0000  0.0000  0.5000  6 O 1.97-2.02
O  0.8253  0.9040  0.2869  1 Ta 1.97
O  0.8592  0.7360  0.6055  1 Ta 2.02
O  0.7823  0.6703  0.9482  1 Ta 2.00
O  0.7177  0.1703  0.5518  1 Ta 2.00
O  0.6408  0.2360  0.8945  1 Ta 2.02
O  0.6747  0.4040  0.2131  1 Ta 1.97
O  0.1747  0.0960  0.7131  1 Ta 1.97
O  0.1408  0.2640  0.3945  1 Ta 2.02
O  0.2177  0.3297  0.0518  1 Ta 2.00
O  0.2823  0.8297  0.4482  1 Ta 2.00
O  0.3592  0.7640  0.1055  1 Ta 2.02
O  0.3253  0.5960  0.7869  1 Ta 1.97

Calculated values
SG: P2_1/c

[6]
Density functional theory data (PBE-GGA) for Pm2Ta3O10 after structural relaxation.

Unit cell a=5.8249 b=7.6660 c=9.9889 alpha=113.18 beta=106.95 gamma=90.00
Closest atoms and distances in Å follow each position.
Positions (direct):
Pm  0.6836  0.3453  0.3671  3 O 2.25-2.49
Pm  0.3164  0.6547  0.6328  3 O 2.25-2.49
Pm  0.5917  0.7217  0.1834  7 O 2.42-2.70
Pm  0.4083  0.2783  0.8166  7 O 2.42-2.70
Ta  0.9162  0.5055  0.8324  4 O 1.89-2.01
Ta  0.0838  0.4945  0.1676  4 O 1.89-2.01
Ta  0.8118  0.9536  0.6235  4 O 1.89-2.00
Ta  0.1882  0.0464  0.3765  4 O 1.89-2.00
Ta  0.7456  0.0000  0.0000  6 O 2.01-2.08
Ta  0.2544  0.0000  0.0000  6 O 2.01-2.08
O  0.6231  0.9582  0.7787  2 Ta 2.01-2.14
O  0.1556  0.9582  0.7787  2 Ta 2.01-2.14
O  0.3769  0.0418  0.2213  2 Ta 2.01-2.14
O  0.8444  0.0418  0.2213  2 Ta 2.01-2.14
O  0.5922  0.4789  0.7076  1 Ta 1.89
O  0.1154  0.4789  0.7076  1 Ta 1.89
O  0.4078  0.5211  0.2924  1 Ta 1.89
O  0.8846  0.5211  0.2924  1 Ta 1.89
O  0.9715  0.7926  0.9431  3 Ta 2.01-2.08
O  0.0285  0.2074  0.0569  3 Ta 2.01-2.08
O  0.8827  0.2300  0.7655  2 Ta 1.94-1.99
O  0.1173  0.7700  0.2345  2 Ta 1.94-1.99
O  0.7787  0.6848  0.5574  1 Ta 1.89
O  0.2213  0.3152  0.4426  1 Ta 1.89
O  0.4792  0.7914  0.9585  2 Ta 2.06
O  0.5208  0.2086  0.0415  2 Ta 2.06
O  0.7627  0.5000  0.0000  2 Ta 2.13
O  0.2373  0.5000  0.0000  2 Ta 2.13
O  0.5000  0.0000  0.5000  2 Ta 2.00
O  0.0000  0.0000  0.5000  2 Ta 2.00

Calculated values
SG: C2/m

[7]
Density functional theory data (PBE-GGA) for PmTa2O6 after structural relaxation.

Unit cell a=3.8604 b=7.4798 c=6.1160 alpha=99.44 beta=108.40 gamma=90.00
Closest atoms and distances in Å follow each position.
Positions (direct):
Pm  0.0000  0.5000  0.0000  6 O 2.33-2.41
Ta  0.2571  0.1850  0.5141  2 O 1.82-1.91
Ta  0.7429  0.8150  0.4859  2 O 1.82-1.91
O  0.1281  0.2928  0.2561  1 Ta 1.82
O  0.2296  0.8972  0.4592  3 Ta 2.04-2.12
O  0.7704  0.1028  0.5408  3 Ta 2.04-2.12
O  0.4001  0.3548  0.8002  1 Ta 1.91
O  0.5999  0.6452  0.1998  1 Ta 1.91
O  0.8719  0.7072  0.7439  1 Ta 1.82

Calculated values
SG: C2/m

[8]
Density functional theory data (PBE-GGA) for Pm4Ta6O19 after structural relaxation.

Unit cell a=8.0174 b=8.0174 c=8.0174 alpha=109.47 beta=109.47 gamma=109.47
Closest atoms and distances in Å follow each position.
Positions (direct):
Pm  0.0000  0.0000  0.7072  7 O 2.35-2.56
Pm  0.0000  0.7072  0.0000  7 O 2.35-2.56
Pm  0.2928  0.2928  0.2928  7 O 2.35-2.56
Pm  0.7072  0.0000  0.0000  7 O 2.35-2.56
Ta  0.3496  0.5000  0.8496  6 O 1.99-2.10
Ta  0.6504  0.5000  0.1504  6 O 1.99-2.10
Ta  0.1504  0.6504  0.5000  6 O 1.99-2.10
Ta  0.8496  0.3496  0.5000  6 O 1.99-2.10
Ta  0.5000  0.8496  0.3496  6 O 1.99-2.10
Ta  0.5000  0.1504  0.6504  6 O 1.99-2.10
O  0.6699  0.0000  0.6699  2 Ta 2.10
O  0.3301  0.0000  0.3301  2 Ta 2.10
O  0.3301  0.3301  0.0000  2 Ta 2.10
O  0.6699  0.6699  0.0000  2 Ta 2.10
O  0.0000  0.6699  0.6699  2 Ta 2.10
O  0.0000  0.3301  0.3301  2 Ta 2.10
O  0.0000  0.0000  0.0000  4 Pm 2.35
O  0.3571  0.3192  0.6158  2 Ta 1.99-2.07
O  0.6429  0.2587  0.9621  2 Ta 1.99-2.07
O  0.7035  0.7413  0.3842  2 Ta 1.99-2.07
O  0.9621  0.6429  0.2587  2 Ta 1.99-2.07
O  0.2965  0.6808  0.0379  2 Ta 1.99-2.07
O  0.6158  0.3571  0.3192  2 Ta 1.99-2.07
O  0.0379  0.2965  0.6808  2 Ta 1.99-2.07
O  0.3842  0.7035  0.7413  2 Ta 1.99-2.07
O  0.6808  0.0379  0.2965  2 Ta 1.99-2.07
O  0.2587  0.9621  0.6429  2 Ta 1.99-2.07
O  0.3192  0.6158  0.3571  2 Ta 1.99-2.07
O  0.7413  0.3842  0.7035  2 Ta 1.99-2.07

Calculated values
SG: I23

[9]
Density functional theory data (PBE-GGA) for PmTaTcO6 after structural relaxation.

Unit cell a=4.9373 b=4.9373 c=9.7811 alpha=90.00 beta=90.00 gamma=90.00
Closest atoms and distances in Å follow each position.
Positions (direct):
Pm  0.5000  0.5000  0.1709  6 O 2.29-2.40
Pm  0.0000  0.0000  0.6709  6 O 2.29-2.40
Ta  0.5000  0.5000  0.8365  6 O 1.99-2.05
Ta  0.0000  0.0000  0.3365  6 O 1.99-2.05
Tc  0.5000  0.5000  0.4993  6 O 2.04-2.06
Tc  0.0000  0.0000  0.9993  6 O 2.04-2.06
O  0.2074  0.7926  0.4756  1 Ta 1.99, 1 Tc 2.06
O  0.7926  0.2074  0.4756  1 Ta 1.99, 1 Tc 2.06
O  0.2926  0.2926  0.9756  1 Ta 1.99, 1 Tc 2.06
O  0.7074  0.7074  0.9756  1 Ta 1.99, 1 Tc 2.06
O  0.1725  0.8275  0.1675  1 Tc 2.04, 1 Ta 2.05
O  0.8275  0.1725  0.1675  1 Tc 2.04, 1 Ta 2.05
O  0.3275  0.3275  0.6675  1 Tc 2.04, 1 Ta 2.05
O  0.6725  0.6725  0.6675  1 Tc 2.04, 1 Ta 2.05
O  0.7880  0.2120  0.8535  1 Ta 2.02, 1 Tc 2.06
O  0.2120  0.7880  0.8535  1 Ta 2.02, 1 Tc 2.06
O  0.7120  0.7120  0.3535  1 Ta 2.02, 1 Tc 2.06
O  0.2880  0.2880  0.3535  1 Ta 2.02, 1 Tc 2.06

Calculated values
SG: P4_2nm

[10]
Density functional theory data (PBE-GGA) for PmTaTiO6 after structural relaxation.

Unit cell a=5.2343 b=5.2343 c=10.0956 alpha=90.00 beta=90.00 gamma=120.00
Closest atoms and distances in Å follow each position.
Positions (direct):
Pm  0.0000  0.0000  0.0000  6 O 2.39
Pm  0.0000  0.0000  0.5000  6 O 2.39
Ta  0.3333  0.6667  0.2500  6 O 2.00
Ta  0.6667  0.3333  0.7500  6 O 2.00
Ti  0.6667  0.3333  0.2500  6 O 1.98
Ti  0.3333  0.6667  0.7500  6 O 1.98
O  0.6354  0.6324  0.1421  1 Ti 1.98, 1 Ta 2.00
O  0.9971  0.3646  0.1421  1 Ti 1.98, 1 Ta 2.00
O  0.3646  0.9971  0.6421  1 Ti 1.98, 1 Ta 2.00
O  0.0029  0.6354  0.8579  1 Ti 1.98, 1 Ta 2.00
O  0.3676  0.3646  0.3579  1 Ti 1.98, 1 Ta 2.00
O  0.9971  0.6324  0.3579  1 Ti 1.98, 1 Ta 2.00
O  0.6324  0.9971  0.8579  1 Ti 1.98, 1 Ta 2.00
O  0.6354  0.0029  0.3579  1 Ti 1.98, 1 Ta 2.00
O  0.0029  0.3676  0.6421  1 Ti 1.98, 1 Ta 2.00
O  0.3676  0.0029  0.1421  1 Ti 1.98, 1 Ta 2.00
O  0.6324  0.6354  0.6421  1 Ti 1.98, 1 Ta 2.00
O  0.3646  0.3676  0.8579  1 Ti 1.98, 1 Ta 2.00

Calculated values
SG: P-31c

[11]
Density functional theory data (PBE-GGA) for PmTaTlO6 after structural relaxation.

Unit cell a=5.1137 b=5.1137 c=10.2632 alpha=90.00 beta=90.00 gamma=90.00
Closest atoms and distances in Å follow each position.
Positions (direct):
Pm  0.5000  0.5000  0.4988  6 O 2.33-2.39
Pm  0.0000  0.0000  0.9988  6 O 2.33-2.39
Ta  0.5000  0.5000  0.8277  6 O 1.96-2.05
Ta  0.0000  0.0000  0.3277  6 O 1.96-2.05
Tl  0.5000  0.5000  0.1669  6 O 2.27-2.32
Tl  0.0000  0.0000  0.6669  6 O 2.27-2.32
O  0.1791  0.8209  0.4821  1 Ta 2.05
O  0.8209  0.1791  0.4821  1 Ta 2.05
O  0.3209  0.3209  0.9821  1 Ta 2.05
O  0.6791  0.6791  0.9821  1 Ta 2.05
O  0.1875  0.8125  0.1904  1 Ta 1.96
O  0.8125  0.1875  0.1904  1 Ta 1.96
O  0.3125  0.3125  0.6904  1 Ta 1.96
O  0.6875  0.6875  0.6904  1 Ta 1.96
O  0.7791  0.2209  0.8309  1 Ta 2.02
O  0.2209  0.7791  0.8309  1 Ta 2.02
O  0.7209  0.7209  0.3309  1 Ta 2.02
O  0.2791  0.2791  0.3309  1 Ta 2.02

Calculated values
SG: P4_2nm

[12]
Density functional theory data (PBE-GGA) for PmTmTaO6 after structural relaxation.

Unit cell a=5.0795 b=5.0795 c=10.1753 alpha=90.00 beta=90.00 gamma=90.00
Closest atoms and distances in Å follow each position.
Positions (direct):
Pm  0.5000  0.5000  0.4986  6 O 2.31-2.40
Pm  0.0000  0.0000  0.9986  6 O 2.31-2.40
Tm  0.5000  0.5000  0.8357  6 O 2.23-2.26
Tm  0.0000  0.0000  0.3357  6 O 2.23-2.26
Ta  0.5000  0.5000  0.1649  6 O 2.00-2.02
Ta  0.0000  0.0000  0.6649  6 O 2.00-2.02
O  0.1799  0.8201  0.5151  1 Ta 2.00, 1 Tm 2.24
O  0.8201  0.1799  0.5151  1 Ta 2.00, 1 Tm 2.24
O  0.3201  0.3201  0.0151  1 Ta 2.00, 1 Tm 2.24
O  0.6799  0.6799  0.0151  1 Ta 2.00, 1 Tm 2.24
O  0.2196  0.7804  0.1763  1 Ta 2.02
O  0.7804  0.2196  0.1763  1 Ta 2.02
O  0.2804  0.2804  0.6763  1 Ta 2.02
O  0.7196  0.7196  0.6763  1 Ta 2.02
O  0.8082  0.1918  0.8089  1 Ta 2.01, 1 Tm 2.23
O  0.1918  0.8082  0.8089  1 Ta 2.01, 1 Tm 2.23
O  0.6918  0.6918  0.3089  1 Ta 2.01, 1 Tm 2.23
O  0.3082  0.3082  0.3089  1 Ta 2.01, 1 Tm 2.23

Calculated values
SG: P4_2nm

Short version: energy relative to the elements, uncorrected = -2776 -2938 -3263 -3029 -2940 -2958 -2843 -2936 -2458 -3146 -2122 -3001 meV/atom, in the order given.
Short version: total moment = 0.00 2.23 1.14 1.44 2.11 0.00 1.02 2.03 6.00 0.00 2.10 2.04 μB/cell, in the order given.